Entry 1:
Density functional theory data (PBE) for crystalline Ag2H2Pt at its relaxed geometry.

```
data_Ag2H2Pt
_cell_length_a 4.425
_cell_length_b 4.425
_cell_length_c 7.133
_cell_angle_alpha 90.00
_cell_angle_beta 90.00
_cell_angle_gamma 90.00
_symmetry_space_group_name_H-M 'I 4/m m m'
_symmetry_Int_Tables_number 139
_symmetry_space_group_name_Hall '-I 4 2'
loop_
_atom_site_label
_atom_site_fract_x
_atom_site_fract_y
_atom_site_fract_z
Ag1 0.000 0.500 0.250
H1 0.000 0.000 0.238
Pt1 0.000 0.000 0.000
```

Results
The energy above the most stable polymorph in this dataset is 111 meV per atom. The total magnetization comes out at 0.0 Bohr magnetons per cell.

---

Entry 2:
Density functional theory data (PBE) for crystalline Ag2H2Pt at its relaxed geometry.

```
data_Ag2H2Pt
_cell_length_a 3.903
_cell_length_b 3.903
_cell_length_c 4.165
_cell_angle_alpha 90.00
_cell_angle_beta 90.00
_cell_angle_gamma 90.00
_symmetry_space_group_name_H-M 'P 4/m m m'
_symmetry_Int_Tables_number 123
_symmetry_space_group_name_Hall '-P 4 2'
loop_
_atom_site_label
_atom_site_fract_x
_atom_site_fract_y
_atom_site_fract_z
Ag1 0.000 0.500 0.000
H1 0.000 0.500 0.500
Pt1 0.000 0.000 0.500
```

Results
The energy above the most stable polymorph in this dataset is 4 meV per atom. The total magnetization comes out at 0.0 Bohr magnetons per cell.

---

Entry 3:
Density functional theory data (PBE) for crystalline AgH3Pt2 at its relaxed geometry.

```
data_AgH3Pt2
_cell_length_a 14.731
_cell_length_b 2.848
_cell_length_c 6.324
_cell_angle_alpha 90.00
_cell_angle_beta 93.82
_cell_angle_gamma 90.00
_symmetry_space_group_name_H-M 'C 1 2/m 1'
_symmetry_Int_Tables_number 12
loop_
_symmetry_equiv_pos_as_xyz
'x,y,z'
'-x,-y,-z'
'-x,y,-z'
'x,-y,z'
'x+1/2,y+1/2,z'
'-x+1/2,-y+1/2,-z'
'-x+1/2,y+1/2,-z'
'x+1/2,-y+1/2,z'
loop_
_atom_site_label
_atom_site_fract_x
_atom_site_fract_y
_atom_site_fract_z
Ag1 0.133 0.000 0.196
H1 0.051 0.500 0.299
H2 0.075 0.000 0.651
H3 0.188 0.500 0.820
Pt1 0.053 0.500 0.819
Pt2 0.203 0.000 0.644
```

Results
The energy above the most stable polymorph in this dataset is 57 meV per atom. The total magnetization comes out at 0.0 Bohr magnetons per cell.

---

| no. | calculated volume (Å³/f.u.) |
| --- | --- |
| 1 | 69.8 |
| 2 | 63.4 |
| 3 | 66.2 |